# 1
Crystalline ZrZnPb2 at its relaxed geometry. Source: the Alexandria database, functional PBE-GGA.

Unit cell a=10.016 b=10.016 c=10.016 alpha=19.76 beta=19.76 gamma=19.76
Positions (direct):
Zr: 0.000 0.000 0.000
Zn: 0.738 0.738 0.738
Pb: 0.248 0.248 0.248
Pb: 0.484 0.484 0.484

Calculated values
ΔH_f (0 K) in eV/atom: 0.08
D(E_F) in states/eV/cell: 2.368
Calculated total energy in eV per atom: -4.229

***

# 2
Crystalline ZrZn2Pb at its relaxed geometry. Source: the Alexandria database, functional PBE-GGA.

Unit cell a=6.182 b=6.182 c=6.182 alpha=103.18 beta=103.18 gamma=122.96
Positions (direct):
Zr: 0.000 0.000 0.000
Zr: 0.750 0.250 0.500
Zn: 0.126 0.625 0.001
Zn: 0.375 0.376 0.501
Zn: 0.624 0.125 0.999
Zn: 0.875 0.874 0.499
Pb: 0.250 0.750 0.500
Pb: 0.500 0.500 0.000

Calculated values
ΔH_f (0 K) in eV/atom: 0.13
D(E_F) in states/eV/cell: 1.995
Calculated total energy in eV per atom: -3.568

***

# 3
Crystalline ZrZnPb2 at its relaxed geometry. Source: the Alexandria database, functional PBE-GGA.

Unit cell a=3.245 b=3.245 c=9.591 alpha=90.00 beta=90.00 gamma=99.11
Positions (direct):
Zr: 0.000 0.000 0.000
Zn: 0.000 0.000 0.500
Pb: 0.500 0.500 0.248
Pb: 0.500 0.500 0.752

Calculated values
ΔH_f (0 K) in eV/atom: 0.13
D(E_F) in states/eV/cell: 2.591
Calculated total energy in eV per atom: -4.179

***

# 4
Crystalline ZrZnPb2 at its relaxed geometry. Source: the Alexandria database, functional PBE-GGA.

Unit cell a=3.332 b=5.231 c=5.624 alpha=90.00 beta=90.00 gamma=90.00
Positions (direct):
Zr: 0.000 0.000 0.000
Zn: 0.500 0.000 0.500
Pb: 0.000 0.500 0.500
Pb: 0.500 0.500 0.000

Calculated values
ΔH_f (0 K) in eV/atom: 0.13
D(E_F) in states/eV/cell: 3.478
Calculated total energy in eV per atom: -4.181

***

# 5
Crystalline ZrZn2Pb at its relaxed geometry. Source: the Alexandria database, functional PBE-GGA.

Unit cell a=3.145 b=4.543 c=5.793 alpha=90.00 beta=90.06 gamma=90.00
Positions (direct):
Zr: 0.000 0.000 0.000
Zn: 0.497 0.500 0.788
Zn: 0.503 0.500 0.212
Pb: 0.500 0.000 0.500

Calculated values
ΔH_f (0 K) in eV/atom: -0.02
D(E_F) in states/eV/cell: 1.852
Calculated total energy in eV per atom: -3.722

***

# 6
Crystalline Zr2ZnPb at its relaxed geometry. Source: the Alexandria database, functional PBE-GGA.

Unit cell a=6.270 b=6.270 c=6.270 alpha=103.48 beta=103.48 gamma=122.27
Positions (direct):
Zr: 0.108 0.625 0.983
Zr: 0.375 0.358 0.483
Zr: 0.642 0.125 0.017
Zr: 0.875 0.892 0.517
Zn: 0.000 0.000 0.000
Zn: 0.750 0.250 0.500
Pb: 0.250 0.750 0.500
Pb: 0.500 0.500 0.000

Calculated values
ΔH_f (0 K) in eV/atom: 0.07
D(E_F) in states/eV/cell: 6.361
Calculated total energy in eV per atom: -5.446